Record 1
A geometry-optimized V4Cr5S10 structure, computed with PBE-GGA.

a = 5.8567 Å, b = 6.6651 Å, c = 8.1742 Å
α = 106.26°, β = 110.80°, γ = 90.02°
Last column: nearest neighbours and their distance in Å.
Sites, in units of the cell vectors:
Cr  0.0988  0.7129  0.1887  6 S 2.36-2.43
Cr  0.2888  0.0977  0.6012  6 S 2.37-2.45
Cr  0.5000  0.5000  0.0000  6 S 2.41-2.45
Cr  0.7112  0.9023  0.3988  6 S 2.37-2.45
Cr  0.9012  0.2871  0.8113  6 S 2.36-2.43
S  0.6107  0.1440  0.9034  3 Cr 2.38-2.45, 2 V 2.48-2.52
S  0.4130  0.7525  0.4876  3 V 2.41-2.43, 3 Cr 2.42-2.44
S  0.0115  0.9460  0.7010  3 Cr 2.38-2.41, 2 V 2.43-2.45
S  0.8273  0.5615  0.2999  3 Cr 2.37-2.44, 3 V 2.39-2.44
S  0.2159  0.3603  0.1034  3 Cr 2.36-2.43, 2 V 2.42-2.44
S  0.7841  0.6397  0.8966  3 Cr 2.36-2.43, 2 V 2.42-2.44
S  0.5870  0.2475  0.5124  3 V 2.41-2.43, 3 Cr 2.42-2.44
S  0.1727  0.4385  0.7001  3 Cr 2.37-2.44, 3 V 2.39-2.44
S  0.9885  0.0540  0.2990  3 Cr 2.38-2.41, 2 V 2.43-2.45
S  0.3893  0.8560  0.0966  3 Cr 2.38-2.45, 2 V 2.48-2.52
V  0.2074  0.4029  0.4044  6 S 2.42-2.44
V  0.3909  0.7771  0.7814  6 S 2.39-2.52
V  0.6091  0.2229  0.2186  6 S 2.39-2.52
V  0.7926  0.5971  0.5956  6 S 2.42-2.44

Output
- mass density (g cm⁻³) = 4.577
- space-group type = P-1, No. 2
- calculated volume (A^3/atom) = 14.98
- D(E_F) (states/eV per cell) = 11.8
- raw total energy (eV per formula unit) = -139.41



Record 2
A geometry-optimized VCrS structure, computed with PBE-GGA.

a = 2.8088 Å, b = 2.8088 Å, c = 5.1334 Å
α = 105.88°, β = 105.88°, γ = 90.00°
Last column: nearest neighbours and their distance in Å.
Sites, in units of the cell vectors:
Cr  0.3054  0.3054  0.6108  4 S 2.29
S  0.6860  0.6860  0.3719  4 Cr 2.29
V  0.0086  0.0086  0.0173  4 S 2.60, 5 Cr 2.77-2.81, 4 V 2.81

Output
- mass density (g cm⁻³) = 6.003
- offset from the most stable computed form (meV/atom) = 117
- space-group type = I4mm, No. 107
- calculated volume (A^3/atom) = 12.45
- D(E_F) (states/eV per cell) = 5.2



Record 3
A geometry-optimized VCrS3 structure, computed with PBE-GGA.

a = 4.5798 Å, b = 4.5798 Å, c = 4.5798 Å
α = 90.00°, β = 90.00°, γ = 90.00°
Last column: nearest neighbours and their distance in Å.
Sites, in units of the cell vectors:
Cr  0.5000  0.5000  0.5000  12 S 3.24
S  0.0000  0.5000  0.0000  2 V 2.29
S  0.0000  0.0000  0.5000  2 V 2.29
S  0.5000  0.0000  0.0000  2 V 2.29
V  0.0000  0.0000  0.0000  6 S 2.29

Output
- mass density (g cm⁻³) = 3.442
- offset from the most stable computed form (meV/atom) = 832
- space-group type = Pm-3m, No. 221
- calculated volume (A^3/atom) = 19.21
- D(E_F) (states/eV per cell) = 4.9



Record 4
A geometry-optimized V2CrS structure, computed with PBE-GGA.

a = 3.0734 Å, b = 3.0734 Å, c = 5.2545 Å
α = 90.00°, β = 90.00°, γ = 90.00°
Last column: nearest neighbours and their distance in Å.
Sites, in units of the cell vectors:
Cr  0.5000  0.5000  0.5000  8 V 2.56, 2 S 2.63
S  0.5000  0.5000  0.0000  8 V 2.51, 2 Cr 2.63
V  0.0000  0.0000  0.7591  4 S 2.51, 2 V 2.53-2.72, 4 Cr 2.56
V  0.0000  0.0000  0.2409  4 S 2.51, 2 V 2.53-2.72, 4 Cr 2.56

Output
- mass density (g cm⁻³) = 6.221
- space-group type = P4/mmm, No. 123
- calculated volume (A^3/atom) = 12.41
- D(E_F) (states/eV per cell) = 4.6
- raw total energy (eV per formula unit) = -32.71



Record 5
A geometry-optimized V6CrS8 structure, computed with PBE-GGA.

a = 6.2997 Å, b = 6.2997 Å, c = 6.2997 Å
α = 91.41°, β = 91.41°, γ = 91.41°
Last column: nearest neighbours and their distance in Å.
Sites, in units of the cell vectors:
V  0.5941  0.4505  0.7934  5 S 2.34-2.40
V  0.4505  0.7934  0.5941  5 S 2.34-2.40
V  0.7934  0.5941  0.4505  5 S 2.34-2.40
V  0.4059  0.5495  0.2066  5 S 2.34-2.40
V  0.5495  0.2066  0.4059  5 S 2.34-2.40
V  0.2066  0.4059  0.5495  5 S 2.34-2.40
Cr  0.0000  0.0000  0.0000  2 S 2.37
S  0.7771  0.7771  0.7771  3 V 2.34, 1 Cr 2.37
S  0.2229  0.2229  0.2229  3 V 2.34, 1 Cr 2.37
S  0.6084  0.8655  0.2674  4 V 2.34-2.40
S  0.8655  0.2674  0.6084  4 V 2.34-2.40
S  0.2674  0.6084  0.8655  4 V 2.34-2.40
S  0.3916  0.1345  0.7326  4 V 2.34-2.40
S  0.1345  0.7326  0.3916  4 V 2.34-2.40
S  0.7326  0.3916  0.1345  4 V 2.34-2.40

Output
- mass density (g cm⁻³) = 4.083
- space-group type = R-3, No. 148
- calculated volume (A^3/atom) = 16.65
- D(E_F) (states/eV per cell) = 12.5
- raw total energy (eV per formula unit) = -109.53



Record 6
A geometry-optimized VCrS structure, computed with PBE-GGA.

a = 3.3478 Å, b = 7.1415 Å, c = 7.2499 Å
α = 102.77°, β = 103.35°, γ = 90.00°
Last column: nearest neighbours and their distance in Å.
Sites, in units of the cell vectors:
S  0.1467  0.3180  0.2934  4 V 2.27-2.33, 4 Cr 2.32-2.46
S  0.4511  0.2213  0.9021  4 V 2.24-2.48, 1 Cr 2.48
S  0.5489  0.7787  0.0979  4 V 2.24-2.48, 1 Cr 2.48
S  0.8533  0.6820  0.7066  4 V 2.27-2.33, 4 Cr 2.32-2.46
Cr  0.2360  0.6362  0.4720  3 S 2.32-2.33, 2 Cr 2.40
Cr  0.7294  0.8745  0.4588  4 Cr 2.40-2.42, 2 S 2.46-2.48
Cr  0.7640  0.3638  0.5280  3 S 2.32-2.33, 2 Cr 2.40
Cr  0.2706  0.1255  0.5412  4 Cr 2.40-2.42, 2 S 2.46-2.48
V  0.4061  0.5029  0.8122  4 S 2.24-2.48
V  0.6005  0.1011  0.2010  4 S 2.25-2.45
V  0.5939  0.4971  0.1878  4 S 2.24-2.48
V  0.3995  0.8989  0.7990  4 S 2.25-2.45

Output
- mass density (g cm⁻³) = 5.460
- offset from the most stable computed form (meV/atom) = 0
- space-group type = C2/m, No. 12
- calculated volume (A^3/atom) = 13.69
- D(E_F) (states/eV per cell) = 10.7



Record 7
A geometry-optimized V2CrS5 structure, computed with PBE-GGA.

a = 4.2977 Å, b = 6.5656 Å, c = 6.5442 Å
α = 83.83°, β = 70.83°, γ = 70.90°
Last column: nearest neighbours and their distance in Å.
Sites, in units of the cell vectors:
V  0.8108  0.5000  0.8785  3 S 2.34-2.36
V  0.1892  0.5000  0.1215  3 S 2.34-2.36
Cr  0.5000  0.5000  0.5000  2 S 2.15
S  0.2214  0.7353  0.8220  3 V 2.36-2.62, 1 Cr 2.47
S  0.5434  0.7353  0.1780  3 V 2.36-2.62, 1 Cr 2.47
S  0.0000  0.5000  0.5000  2 Cr 2.15, 2 V 2.34
S  0.7786  0.2647  0.1780  3 V 2.36-2.62, 1 Cr 2.47
S  0.4566  0.2647  0.8220  3 V 2.36-2.62, 1 Cr 2.47

Output
- mass density (g cm⁻³) = 3.166
- space-group type = Fmmm, No. 69
- calculated volume (A^3/atom) = 20.60
- D(E_F) (states/eV per cell) = 4.7
- raw total energy (eV per formula unit) = -52.99



Record 8
A geometry-optimized VCrS3 structure, computed with PBE-GGA.

a = 3.3411 Å, b = 6.1592 Å, c = 8.2960 Å
α = 105.10°, β = 90.00°, γ = 90.00°
Last column: nearest neighbours and their distance in Å.
Sites, in units of the cell vectors:
V  0.2500  0.8798  0.3603  6 S 2.27-2.51
V  0.7500  0.1202  0.6397  6 S 2.27-2.51
Cr  0.2500  0.7317  0.9882  6 S 2.34-2.47
Cr  0.7500  0.2683  0.0118  6 S 2.34-2.47
S  0.2500  0.0293  0.8378  3 Cr 2.44-2.47, 2 V 2.51
S  0.7500  0.9707  0.1622  3 Cr 2.44-2.47, 2 V 2.51
S  0.2500  0.4933  0.1697  3 Cr 2.34-2.36, 1 V 2.49
S  0.7500  0.5067  0.8303  3 Cr 2.34-2.36, 1 V 2.49
S  0.2500  0.2514  0.4943  3 V 2.27-2.33
S  0.7500  0.7486  0.5057  3 V 2.27-2.33

Output
- mass density (g cm⁻³) = 4.012
- offset from the most stable computed form (meV/atom) = 0
- space-group type = P2_1/m, No. 11
- calculated volume (A^3/atom) = 16.48
- D(E_F) (states/eV per cell) = 5.5



Record 9
A geometry-optimized VCr2S4 structure, computed with PBE-GGA.

a = 4.7311 Å, b = 4.7311 Å, c = 6.7869 Å
α = 69.60°, β = 69.60°, γ = 90.00°
Last column: nearest neighbours and their distance in Å.
Sites, in units of the cell vectors:
Cr  0.3823  0.3823  0.2355  1 S 2.21
Cr  0.6177  0.6177  0.7645  1 S 2.21
S  0.1953  0.1953  0.6095  1 Cr 2.21, 1 V 2.31
S  0.8047  0.8047  0.3905  1 Cr 2.21, 1 V 2.31
S  0.0000  0.5000  0.0000  2 V 2.37
S  0.5000  0.0000  0.0000  2 V 2.37
V  0.0000  0.0000  0.0000  6 S 2.31-2.37

Output
- mass density (g cm⁻³) = 3.558
- offset from the most stable computed form (meV/atom) = 634
- space-group type = I4/mmm, No. 139
- calculated volume (A^3/atom) = 18.88
- D(E_F) (states/eV per cell) = 4.0



Record 10
A geometry-optimized VCrS2 structure, computed with PBE-GGA.

a = 3.2331 Å, b = 3.2331 Å, c = 6.4338 Å
α = 75.45°, β = 75.45°, γ = 60.00°
Last column: nearest neighbours and their distance in Å.
Sites, in units of the cell vectors:
V  0.5034  0.5034  0.4898  6 S 2.39-2.43
Cr  0.6595  0.6595  0.0216  6 S 2.32-2.54
S  0.0860  0.0860  0.7421  3 V 2.43, 3 Cr 2.54
S  0.2512  0.2512  0.2465  3 Cr 2.32, 3 V 2.39

Output
- mass density (g cm⁻³) = 4.977
- offset from the most stable computed form (meV/atom) = 0
- space-group type = R3m, No. 160
- calculated volume (A^3/atom) = 13.93
- D(E_F) (states/eV per cell) = 2.3



Record 11
A geometry-optimized VCr3S structure, computed with PBE-GGA.

a = 4.5086 Å, b = 4.5086 Å, c = 4.5086 Å
α = 90.00°, β = 90.00°, γ = 90.00°
Last column: nearest neighbours and their distance in Å.
Sites, in units of the cell vectors:
Cr  0.0000  0.5000  0.0000  2 V 2.25
Cr  0.0000  0.0000  0.5000  2 V 2.25
Cr  0.5000  0.0000  0.0000  2 V 2.25
S  0.5000  0.5000  0.5000  12 Cr 3.19
V  0.0000  0.0000  0.0000  6 Cr 2.25

Output
- mass density (g cm⁻³) = 4.330
- offset from the most stable computed form (meV/atom) = 954
- space-group type = Pm-3m, No. 221
- calculated volume (A^3/atom) = 18.33
- D(E_F) (states/eV per cell) = 9.3



Record 12
A geometry-optimized V2CrS2 structure, computed with PBE-GGA.

a = 4.4821 Å, b = 4.4821 Å, c = 4.9541 Å
α = 63.10°, β = 63.10°, γ = 90.00°
Last column: nearest neighbours and their distance in Å.
Sites, in units of the cell vectors:
Cr  0.0000  0.0000  0.0000  2 V 2.83, 8 S 2.94
S  0.7500  0.2500  0.5000  4 V 2.42
S  0.2500  0.7500  0.5000  4 V 2.42
V  0.3713  0.3713  0.2574  1 V 1.96
V  0.6287  0.6287  0.7426  1 V 1.96

Output
- mass density (g cm⁻³) = 4.733
- offset from the most stable computed form (meV/atom) = 0
- space-group type = I4/mmm, No. 139
- calculated volume (A^3/atom) = 15.30
- D(E_F) (states/eV per cell) = 2.0